Entry 1:
This record from Alexandria describes crystalline NbAs2Ir2 at its relaxed geometry. The functional is GGA-PBE.

Cell and atoms, written as CIF:
```
data_NbAs2Ir2
_chemical_formula_sum 'Nb2 As4 Ir4'
_cell_length_a 3.915
_cell_length_b 3.915
_cell_length_c 11.334
_cell_angle_alpha 90.00
_cell_angle_beta 90.00
_cell_angle_gamma 90.00
_symmetry_space_group_name_H-M 'I 4/m m m'
_symmetry_Int_Tables_number 139
_symmetry_space_group_name_Hall '-I 4 2'
loop_
_atom_site_label
_atom_site_type_symbol
_atom_site_fract_x
_atom_site_fract_y
_atom_site_fract_z
Nb1 Nb 0.000 0.000 0.000
As1 As 0.000 0.000 0.383
Ir1 Ir 0.000 0.500 0.250
```

Calculated values
DOS at the Fermi energy ... 0.939 states/eV per atom
Relative energy among the computed polymorphs ... 21.4 kJ per mole of atoms
ΔE_f ... 1.07 eV per formula unit

=====

Entry 2:
This record from Alexandria describes crystalline AcCd9Ag2 at its relaxed geometry. The functional is GGA-PBE.

Cell and atoms, written as CIF:
```
data_AcCd9Ag2
_chemical_formula_sum 'Ac1 Cd9 Ag2'
_cell_length_a 9.6794
_cell_length_b 9.6794
_cell_length_c 3.4496
_cell_angle_alpha 90.00
_cell_angle_beta 90.00
_cell_angle_gamma 120.00
_symmetry_space_group_name_H-M 'P 6/m m m'
_symmetry_Int_Tables_number 191
_symmetry_space_group_name_Hall '-P 6 2'
loop_
_atom_site_label
_atom_site_type_symbol
_atom_site_fract_x
_atom_site_fract_y
_atom_site_fract_z
Ac1 Ac 0.0000 0.0000 0.0000
Cd1 Cd 0.0000 0.5000 0.0000
Cd2 Cd 0.1865 0.3730 0.5000
Ag1 Ag 0.3333 0.6667 0.0000
```

Calculated values
DOS at the Fermi energy ... 0.317 states/eV per atom
Relative energy among the computed polymorphs ... 8.0 kJ per mole of atoms
ΔE_f ... -1.21 eV per formula unit

=====

Entry 3:
This record from Alexandria describes crystalline MnCoRuW at its relaxed geometry. The functional is GGA-PBE.

Cell and atoms, written as CIF:
```
data_MnCoRuW
_chemical_formula_sum 'Mn4 Co4 Ru4 W4'
_cell_length_a 6.043
_cell_length_b 6.043
_cell_length_c 6.043
_cell_angle_alpha 90.00
_cell_angle_beta 90.00
_cell_angle_gamma 90.00
_symmetry_space_group_name_H-M 'F -4 3 m'
_symmetry_Int_Tables_number 216
_symmetry_space_group_name_Hall 'F -4 2 3'
loop_
_atom_site_label
_atom_site_type_symbol
_atom_site_fract_x
_atom_site_fract_y
_atom_site_fract_z
Mn1 Mn 0.000 0.000 0.000
Co1 Co 0.250 0.250 0.250
Ru1 Ru 0.250 0.250 0.750
W1 W 0.000 0.000 0.500
```

Calculated values
DOS at the Fermi energy ... 0.787 states/eV per atom
ΔE_f ... 0.35 eV per formula unit

=====

Entry 4:
This record from Alexandria describes crystalline YBi2SbAu at its relaxed geometry. The functional is GGA-PBE.

Cell and atoms, written as CIF:
```
data_YBi2SbAu
_chemical_formula_sum 'Y1 Bi2 Sb1 Au1'
_cell_length_a 5.880
_cell_length_b 5.880
_cell_length_c 5.059
_cell_angle_alpha 90.00
_cell_angle_beta 90.00
_cell_angle_gamma 90.00
_symmetry_space_group_name_H-M 'P 4/m m m'
_symmetry_Int_Tables_number 123
_symmetry_space_group_name_Hall '-P 4 2'
loop_
_atom_site_label
_atom_site_type_symbol
_atom_site_fract_x
_atom_site_fract_y
_atom_site_fract_z
Y1 Y 0.000 0.000 0.000
Bi1 Bi 0.000 0.500 0.500
Sb1 Sb 0.500 0.500 0.500
Au1 Au 0.500 0.500 0.000
```

Calculated values
DOS at the Fermi energy ... 0.583 states/eV per atom
Uncorrected formation energy ... 316 meV per atom

=====

Entry 5:
This record from Alexandria describes crystalline CrMoOs at its relaxed geometry. The functional is GGA-PBE.

Cell and atoms, written as CIF:
```
data_CrMoOs
_chemical_formula_sum 'Cr4 Mo4 Os4'
_cell_length_a 3.050
_cell_length_b 4.396
_cell_length_c 12.693
_cell_angle_alpha 90.00
_cell_angle_beta 90.00
_cell_angle_gamma 90.00
_symmetry_space_group_name_H-M 'F m m 2'
_symmetry_Int_Tables_number 42
_symmetry_space_group_name_Hall 'F 2 -2'
loop_
_atom_site_label
_atom_site_type_symbol
_atom_site_fract_x
_atom_site_fract_y
_atom_site_fract_z
Cr1 Cr 0.000 0.000 0.000
Mo1 Mo 0.000 0.000 0.662
Os1 Os 0.000 0.000 0.340
```

Calculated values
DOS at the Fermi energy ... 1.572 states/eV per atom
Relative energy among the computed polymorphs ... 11.8 kJ per mole of atoms
ΔE_f ... 0.80 eV per formula unit

=====

Entry 6:
This record from Alexandria describes crystalline UCr3Ge2 at its relaxed geometry. The functional is GGA-PBE.

Cell and atoms, written as CIF:
```
data_UCr3Ge2
_chemical_formula_sum 'U4 Cr12 Ge8'
_cell_length_a 14.982
_cell_length_b 4.042
_cell_length_c 6.913
_cell_angle_alpha 90.00
_cell_angle_beta 115.75
_cell_angle_gamma 90.00
_symmetry_space_group_name_H-M 'C 1 2/m 1'
_symmetry_Int_Tables_number 12
loop_
_symmetry_equiv_pos_as_xyz
'x,y,z'
'-x,-y,-z'
'-x,y,-z'
'x,-y,z'
'x+1/2,y+1/2,z'
'-x+1/2,-y+1/2,-z'
'-x+1/2,y+1/2,-z'
'x+1/2,-y+1/2,z'
loop_
_atom_site_label
_atom_site_type_symbol
_atom_site_fract_x
_atom_site_fract_y
_atom_site_fract_z
U1 U 0.129 0.000 0.221
Cr1 Cr 0.052 0.000 0.674
Cr2 Cr 0.092 0.500 0.536
Cr3 Cr 0.208 0.500 0.916
Ge1 Ge 0.032 0.500 0.853
Ge2 Ge 0.218 0.000 0.686
```

Calculated values
DOS at the Fermi energy ... 1.250 states/eV per atom
ΔE_f ... -0.36 eV per formula unit

=====

Entry 7:
This record from Alexandria describes crystalline Be2ZnCl at its relaxed geometry. The functional is GGA-PBE.

Cell and atoms, written as CIF:
```
data_Be2ZnCl
_chemical_formula_sum 'Be2 Zn1 Cl1'
_cell_length_a 2.873
_cell_length_b 2.873
_cell_length_c 7.543
_cell_angle_alpha 90.00
_cell_angle_beta 90.00
_cell_angle_gamma 90.00
_symmetry_space_group_name_H-M 'P 4 m m'
_symmetry_Int_Tables_number 99
loop_
_symmetry_equiv_pos_as_xyz
'x,y,z'
'-y,x,z'
'-x,-y,z'
'y,-x,z'
'-x,y,z'
'y,x,z'
'x,-y,z'
'-y,-x,z'
loop_
_atom_site_label
_atom_site_type_symbol
_atom_site_fract_x
_atom_site_fract_y
_atom_site_fract_z
Be1 Be 0.000 0.000 0.000
Be2 Be 0.500 0.500 0.184
Zn1 Zn 0.500 0.500 0.829
Cl1 Cl 0.000 0.000 0.364
```

Calculated values
DOS at the Fermi energy ... 0.165 states/eV per atom
Uncorrected formation energy ... 250 meV per atom
Relative energy among the computed polymorphs ... 19.5 kJ per mole of atoms

=====

Entry 8:
This record from Alexandria describes crystalline K2CaSiSe4 at its relaxed geometry. The functional is GGA-PBE.

Cell and atoms, written as CIF:
```
data_K2CaSiSe4
_chemical_formula_sum 'K8 Ca4 Si4 Se16'
_cell_length_a 8.118
_cell_length_b 8.897
_cell_length_c 12.029
_cell_angle_alpha 90.00
_cell_angle_beta 90.00
_cell_angle_gamma 90.00
_symmetry_space_group_name_H-M 'I m m a'
_symmetry_Int_Tables_number 74
_symmetry_space_group_name_Hall '-I 2b 2'
loop_
_atom_site_label
_atom_site_type_symbol
_atom_site_fract_x
_atom_site_fract_y
_atom_site_fract_z
K1 K 0.000 0.000 0.000
K2 K 0.250 0.250 0.250
Ca1 Ca 0.000 0.000 0.500
Si1 Si 0.250 0.250 0.750
Se1 Se 0.000 0.054 0.745
Se2 Se 0.238 0.250 0.544
```

Calculated values
DOS at the Fermi energy ... 0.060 states/eV per atom
Uncorrected formation energy ... -937 meV per atom